ErCdNi4: optimized geometry, PBEsol.

Values from the calculation:
VASP energy = -5.5168 eV per atom
Symmetry = F-43m (216)
Formation enthalpy at 0 K = -0.391 eV per atom

Cell: 4.8689 4.8689 4.8689 Å, 60.00 60.00 60.00°
Closest atoms and distances in Å follow each position.
Fractional coordinates of all 6 atoms:
1 Er 0.0000 0.0000 0.0000  12 Ni 2.86, 4 Cd 2.98
2 Cd 0.2500 0.2500 0.2500  12 Ni 2.85, 4 Er 2.98
3 Ni 0.1273 0.6242 0.6242  6 Ni 2.42-2.45
4 Ni 0.6242 0.1273 0.6242  6 Ni 2.42-2.45
5 Ni 0.6242 0.6242 0.1273  6 Ni 2.42-2.45
6 Ni 0.6242 0.6242 0.6242  6 Ni 2.42-2.45

Er4CdNi: optimized geometry, PBEsol.

Values from the calculation:
VASP energy = -4.8360 eV per atom
Symmetry = F-43m (216)
Formation enthalpy at 0 K = -0.326 eV per atom

Cell: 9.2765 9.2765 9.2765 Å, 60.00 60.00 60.00°
Closest atoms and distances in Å follow each position.
Fractional coordinates of all 24 atoms:
1 Er 0.1864 0.1864 0.8136  2 Cd 3.14, 2 Ni 3.36, 10 Er 3.36-3.48
2 Er 0.1864 0.8136 0.1864  2 Cd 3.14, 2 Ni 3.36, 10 Er 3.36-3.48
3 Er 0.1864 0.8136 0.8136  2 Cd 3.14, 2 Ni 3.36, 10 Er 3.36-3.48
4 Er 0.4012 0.4012 0.4012  3 Ni 2.71
5 Er 0.4012 0.4012 0.7964  3 Ni 2.71
6 Er 0.4012 0.7964 0.4012  3 Ni 2.71
7 Er 0.5611 0.5611 0.9389  2 Ni 2.71
8 Er 0.5611 0.9389 0.5611  2 Ni 2.71
9 Er 0.5611 0.9389 0.9389  2 Ni 2.71
10 Er 0.7964 0.4012 0.4012  3 Ni 2.71
11 Er 0.8136 0.1864 0.1864  2 Cd 3.14, 2 Ni 3.36, 10 Er 3.36-3.48
12 Er 0.8136 0.1864 0.8136  2 Cd 3.14, 2 Ni 3.36, 10 Er 3.36-3.48
13 Er 0.8136 0.8136 0.1864  2 Cd 3.14, 2 Ni 3.36, 10 Er 3.36-3.48
14 Er 0.9389 0.5611 0.5611  2 Ni 2.71
15 Er 0.9389 0.5611 0.9389  2 Ni 2.71
16 Er 0.9389 0.9389 0.5611  2 Ni 2.71
17 Cd 0.1690 0.1690 0.1690  3 Cd 3.01, 6 Er 3.14-3.31
18 Cd 0.1690 0.1690 0.4931  3 Cd 3.01, 6 Er 3.14-3.31
19 Cd 0.1690 0.4931 0.1690  3 Cd 3.01, 6 Er 3.14-3.31
20 Cd 0.4931 0.1690 0.1690  3 Cd 3.01, 6 Er 3.14-3.31
21 Ni 0.1777 0.6074 0.6074  6 Er 2.71
22 Ni 0.6074 0.1777 0.6074  6 Er 2.71
23 Ni 0.6074 0.6074 0.1777  6 Er 2.71
24 Ni 0.6074 0.6074 0.6074  6 Er 2.71

ErCdPd2: optimized geometry, PBEsol.

Values from the calculation:
VASP energy = -5.2574 eV per atom
Symmetry = Fm-3m (225)
Formation enthalpy at 0 K = -0.747 eV per atom

Cell: 4.6776 4.6776 4.6776 Å, 60.00 60.00 60.00°
Closest atoms and distances in Å follow each position.
Fractional coordinates of all 4 atoms:
1 Er 0.0000 0.0000 0.0000  8 Pd 2.86
2 Cd 0.5000 0.5000 0.5000  8 Pd 2.86
3 Pd 0.2500 0.2500 0.2500  4 Cd 2.86, 4 Er 2.86
4 Pd 0.7500 0.7500 0.7500  4 Er 2.86, 4 Cd 2.86

Er4CdPd: optimized geometry, PBEsol.

Values from the calculation:
VASP energy = -4.9484 eV per atom
Symmetry = F-43m (216)
Formation enthalpy at 0 K = -0.471 eV per atom

Cell: 9.4175 9.4175 9.4175 Å, 60.00 60.00 60.00°
Closest atoms and distances in Å follow each position.
Fractional coordinates of all 24 atoms:
1 Er 0.1846 0.1846 0.8154  2 Cd 3.17, 2 Pd 3.43, 10 Er 3.43-3.53
2 Er 0.1846 0.8154 0.1846  2 Cd 3.17, 2 Pd 3.43, 10 Er 3.43-3.53
3 Er 0.1846 0.8154 0.8154  2 Cd 3.17, 2 Pd 3.43, 10 Er 3.43-3.53
4 Er 0.3954 0.3954 0.3954  3 Pd 2.79
5 Er 0.3954 0.3954 0.8138  3 Pd 2.79
6 Er 0.3954 0.8138 0.3954  3 Pd 2.79
7 Er 0.5604 0.5604 0.9396  2 Pd 2.80
8 Er 0.5604 0.9396 0.5604  2 Pd 2.80
9 Er 0.5604 0.9396 0.9396  2 Pd 2.80
10 Er 0.8138 0.3954 0.3954  3 Pd 2.79
11 Er 0.8154 0.1846 0.1846  2 Cd 3.17, 2 Pd 3.43, 10 Er 3.43-3.53
12 Er 0.8154 0.1846 0.8154  2 Cd 3.17, 2 Pd 3.43, 10 Er 3.43-3.53
13 Er 0.8154 0.8154 0.1846  2 Cd 3.17, 2 Pd 3.43, 10 Er 3.43-3.53
14 Er 0.9396 0.5604 0.5604  2 Pd 2.80
15 Er 0.9396 0.5604 0.9396  2 Pd 2.80
16 Er 0.9396 0.9396 0.5604  2 Pd 2.80
17 Cd 0.1681 0.1681 0.1681  3 Cd 3.09, 9 Er 3.17-3.41
18 Cd 0.1681 0.1681 0.4958  3 Cd 3.09, 9 Er 3.17-3.41
19 Cd 0.1681 0.4958 0.1681  3 Cd 3.09, 9 Er 3.17-3.41
20 Cd 0.4958 0.1681 0.1681  3 Cd 3.09, 9 Er 3.17-3.41
21 Pd 0.1851 0.6050 0.6050  6 Er 2.79-2.80
22 Pd 0.6050 0.1851 0.6050  6 Er 2.79-2.80
23 Pd 0.6050 0.6050 0.1851  6 Er 2.79-2.80
24 Pd 0.6050 0.6050 0.6050  6 Er 2.79-2.80

Er4CdPt: optimized geometry, PBEsol.

Values from the calculation:
VASP energy = -5.2709 eV per atom
Symmetry = F-43m (216)
Formation enthalpy at 0 K = -0.626 eV per atom

Cell: 9.4187 9.4187 9.4187 Å, 60.00 60.00 60.00°
Closest atoms and distances in Å follow each position.
Fractional coordinates of all 24 atoms:
1 Er 0.1859 0.1859 0.8141  2 Cd 3.18, 10 Er 3.42-3.53, 2 Pt 3.42
2 Er 0.1859 0.8141 0.1859  2 Cd 3.18, 10 Er 3.42-3.53, 2 Pt 3.42
3 Er 0.1859 0.8141 0.8141  2 Cd 3.18, 10 Er 3.42-3.53, 2 Pt 3.42
4 Er 0.3966 0.3966 0.3966  3 Pt 2.79
5 Er 0.3966 0.3966 0.8102  3 Pt 2.79
6 Er 0.3966 0.8102 0.3966  3 Pt 2.79
7 Er 0.5599 0.5599 0.9401  2 Pt 2.78
8 Er 0.5599 0.9401 0.5599  2 Pt 2.78
9 Er 0.5599 0.9401 0.9401  2 Pt 2.78
10 Er 0.8102 0.3966 0.3966  3 Pt 2.79
11 Er 0.8141 0.1859 0.1859  2 Cd 3.18, 10 Er 3.42-3.53, 2 Pt 3.42
12 Er 0.8141 0.1859 0.8141  2 Cd 3.18, 10 Er 3.42-3.53, 2 Pt 3.42
13 Er 0.8141 0.8141 0.1859  2 Cd 3.18, 10 Er 3.42-3.53, 2 Pt 3.42
14 Er 0.9401 0.5599 0.5599  2 Pt 2.78
15 Er 0.9401 0.5599 0.9401  2 Pt 2.78
16 Er 0.9401 0.9401 0.5599  2 Pt 2.78
17 Cd 0.1683 0.1683 0.1683  3 Cd 3.08, 9 Er 3.18-3.41
18 Cd 0.1683 0.1683 0.4952  3 Cd 3.08, 9 Er 3.18-3.41
19 Cd 0.1683 0.4952 0.1683  3 Cd 3.08, 9 Er 3.18-3.41
20 Cd 0.4952 0.1683 0.1683  3 Cd 3.08, 9 Er 3.18-3.41
21 Pt 0.1814 0.6062 0.6062  6 Er 2.78-2.79
22 Pt 0.6062 0.1814 0.6062  6 Er 2.78-2.79
23 Pt 0.6062 0.6062 0.1814  6 Er 2.78-2.79
24 Pt 0.6062 0.6062 0.6062  6 Er 2.78-2.79

Er4CdS7: optimized geometry, PBEsol.

Values from the calculation:
VASP energy = -6.1358 eV per atom
Symmetry = Cm (8)
E_form (uncorrected) = -22.0 eV/f.u.

Cell: 6.4811 6.4811 11.3736 Å, 104.77 104.77 33.60°
Closest atoms and distances in Å follow each position.
Fractional coordinates of all 12 atoms:
1 Er 0.0000 0.0000 0.0000  7 S 2.69-2.92
2 Er 0.3865 0.3865 0.6013  6 S 2.64-2.87
3 Er 0.5911 0.5911 0.3829  6 S 2.63-2.70
4 Er 0.6943 0.6943 0.8130  6 S 2.62-2.69
5 Cd 0.8195 0.8195 0.2300  6 S 2.58-2.75
6 S 0.0344 0.0344 0.7559  5 Er 2.68-2.92
7 S 0.2269 0.2269 0.3436  2 Er 2.64, 2 Cd 2.70
8 S 0.3555 0.3555 0.8569  4 Er 2.69-2.80
9 S 0.4482 0.4482 0.1593  3 Er 2.69-2.80, 2 Cd 2.72
10 S 0.6601 0.6601 0.0302  1 Cd 2.58, 3 Er 2.62-2.69
11 S 0.7363 0.7363 0.5993  4 Er 2.62-2.64
12 S 0.9671 0.9671 0.4577  4 Er 2.70-2.84, 1 Cd 2.75

Er2CdS4: optimized geometry, PBEsol.

Values from the calculation:
VASP energy = -5.7671 eV per atom
Symmetry = Fd-3m (227)
E_form (uncorrected) = -11.8 eV/f.u.

Cell: 7.8149 7.8149 7.8149 Å, 60.00 60.00 60.00°
Closest atoms and distances in Å follow each position.
Fractional coordinates of all 14 atoms:
1 Er 0.0000 0.0000 0.0000  6 S 2.68
2 Er 0.0000 0.0000 0.5000  6 S 2.68
3 Er 0.0000 0.5000 0.0000  6 S 2.68
4 Er 0.5000 0.0000 0.0000  6 S 2.68
5 Cd 0.3750 0.3750 0.3750  4 S 2.53
6 Cd 0.6250 0.6250 0.6250  4 S 2.53
7 S 0.2278 0.7574 0.7574  1 Cd 2.53, 3 Er 2.68
8 S 0.2426 0.2426 0.2426  1 Cd 2.53, 3 Er 2.68
9 S 0.2426 0.2426 0.7722  1 Cd 2.53, 3 Er 2.68
10 S 0.2426 0.7722 0.2426  1 Cd 2.53, 3 Er 2.68
11 S 0.7574 0.2278 0.7574  1 Cd 2.53, 3 Er 2.68
12 S 0.7574 0.7574 0.2278  1 Cd 2.53, 3 Er 2.68
13 S 0.7574 0.7574 0.7574  1 Cd 2.53, 3 Er 2.68
14 S 0.7722 0.2426 0.2426  1 Cd 2.53, 3 Er 2.68

YErCd2: optimized geometry, PBEsol.

Values from the calculation:
VASP energy = -3.8963 eV per atom
Symmetry = Fm-3m (225)
Formation enthalpy at 0 K = -0.360 eV per atom

Cell: 5.1817 5.1817 5.1817 Å, 60.00 60.00 60.00°
Closest atoms and distances in Å follow each position.
Fractional coordinates of all 4 atoms:
1 Y 0.0000 0.0000 0.0000  8 Cd 3.17
2 Er 0.5000 0.5000 0.5000  8 Cd 3.17
3 Cd 0.2500 0.2500 0.2500  4 Er 3.17, 4 Y 3.17
4 Cd 0.7500 0.7500 0.7500  4 Er 3.17, 4 Y 3.17

EuCd: optimized geometry, PBEsol.

Values from the calculation:
VASP energy = -6.2401 eV per atom
Symmetry = Pm-3m (221)
Formation enthalpy at 0 K = -0.360 eV per atom

Cell: 3.8313 3.8313 3.8313 Å, 90.00 90.00 90.00°
Closest atoms and distances in Å follow each position.
Fractional coordinates of all 2 atoms:
1 Eu 0.0000 0.0000 0.0000  8 Cd 3.32
2 Cd 0.5000 0.5000 0.5000  8 Eu 3.32

Eu2CdGe: optimized geometry, PBEsol.

Values from the calculation:
VASP energy = -7.3561 eV per atom
Symmetry = Fm-3m (225)
Formation enthalpy at 0 K = -0.540 eV per atom

Cell: 5.2706 5.2706 5.2706 Å, 60.00 60.00 60.00°
Closest atoms and distances in Å follow each position.
Fractional coordinates of all 4 atoms:
1 Eu 0.2500 0.2500 0.2500  4 Cd 3.23, 4 Ge 3.23
2 Eu 0.7500 0.7500 0.7500  4 Ge 3.23, 4 Cd 3.23
3 Cd 0.0000 0.0000 0.0000  8 Eu 3.23
4 Ge 0.5000 0.5000 0.5000  8 Eu 3.23

Eu2CdHg: optimized geometry, PBEsol.

Values from the calculation:
VASP energy = -6.2087 eV per atom
Symmetry = Fm-3m (225)
Formation enthalpy at 0 K = -0.486 eV per atom

Cell: 5.3872 5.3872 5.3872 Å, 60.00 60.00 60.00°
Closest atoms and distances in Å follow each position.
Fractional coordinates of all 4 atoms:
1 Eu 0.2500 0.2500 0.2500  4 Cd 3.30, 4 Hg 3.30
2 Eu 0.7500 0.7500 0.7500  4 Hg 3.30, 4 Cd 3.30
3 Cd 0.0000 0.0000 0.0000  8 Eu 3.30
4 Hg 0.5000 0.5000 0.5000  8 Eu 3.30

Taking the records one at a time from the top gives magnetic moment values of 0.00, 0.00, 0.00, 0.00, 0.00, 0.00, 0.00, 0.00, 3.55, 3.52, 3.53 μB/atom.